Record 1
Entry from the Alexandria database: a relaxed structure of BeIF2 (PBE-GGA).

Properties
excess energy over the best structure of this formula in the dataset = 0 meV per atom
crystal system = cubic

abc: 7.7827 7.7827 7.7827
angles: 90.00 90.00 90.00
Last column: nearest neighbours and their distance in Å.
Space group Fd-3m (No. 227, origin choice 2)
Asymmetric unit:
Be: 0.1250 0.1250 0.1250 x8  4 F 1.68
I: 0.1250 0.1250 0.6250 x8  12 F 3.23, 4 Be 3.37, 4 I 3.37
F: 0.0000 0.0000 0.0000 x16  2 Be 1.68

***

Record 2
Entry from the Alexandria database: a relaxed structure of BeINF2 (PBE-GGA).

Properties
excess energy over the best structure of this formula in the dataset = 0 meV per atom
crystal system = tetragonal

abc: 3.3040 3.3040 6.4367
angles: 90.00 90.00 90.00
Last column: nearest neighbours and their distance in Å.
Space group P4/mmm (No. 123)
Asymmetric unit:
Be: 0.0000 0.0000 0.0000 x1  4 F 1.65
I: 0.5000 0.5000 0.5000 x1  4 N 2.34
N: 0.0000 0.0000 0.5000 x1  4 I 2.34
F: 0.0000 0.5000 0.0000 x2  2 Be 1.65

***

Record 3
Entry from the Alexandria database: a relaxed structure of BeIN2F (PBE-GGA).

Properties
excess energy over the best structure of this formula in the dataset = 452 meV per atom
crystal system = tetragonal

abc: 3.4308 3.4308 7.0810
angles: 90.00 90.00 90.00
Last column: nearest neighbours and their distance in Å.
Space group P4/mmm (No. 123)
Asymmetric unit:
Be: 0.0000 0.0000 0.0000 x1  4 N 1.72
I: 0.0000 0.0000 0.5000 x1  4 F 2.43
N: 0.0000 0.5000 0.0000 x2  2 Be 1.72
F: 0.5000 0.5000 0.5000 x1  4 I 2.43

***

Record 4
Entry from the Alexandria database: a relaxed structure of BeIN2F (PBE-GGA).

Properties
excess energy over the best structure of this formula in the dataset = 1112 meV per atom
crystal system = tetragonal

abc: 4.0909 4.0909 4.3547
angles: 90.00 90.00 90.00
Last column: nearest neighbours and their distance in Å.
Space group P4/mmm (No. 123)
Asymmetric unit:
Be: 0.0000 0.0000 0.0000 x1  4 F 2.89, 8 N 2.99
I: 0.5000 0.5000 0.5000 x1  4 N 2.05, 2 F 2.18
N: 0.0000 0.5000 0.5000 x2  2 I 2.05
F: 0.5000 0.5000 0.0000 x1  2 I 2.18

***

Record 5
Entry from the Alexandria database: a relaxed structure of BeIN2F (PBE-GGA).

Properties
excess energy over the best structure of this formula in the dataset = 0 meV per atom
crystal system = tetragonal

abc: 3.8946 3.8946 3.3627
angles: 90.00 90.00 90.00
Last column: nearest neighbours and their distance in Å.
Space group P4/mmm (No. 123)
Asymmetric unit:
Be: 0.0000 0.0000 0.0000 x1  2 F 1.68
I: 0.5000 0.5000 0.5000 x1  8 N 2.57, 4 F 2.75
N: 0.0000 0.5000 0.0000 x2  2 Be 1.95
F: 0.0000 0.0000 0.5000 x1  2 Be 1.68

***

Record 6
Entry from the Alexandria database: a relaxed structure of BeINF2 (PBE-GGA).

Properties
excess energy over the best structure of this formula in the dataset = 1574 meV per atom
crystal system = tetragonal

abc: 4.7523 4.7523 4.0066
angles: 90.00 90.00 90.00
Last column: nearest neighbours and their distance in Å.
Space group P4/mmm (No. 123)
Asymmetric unit:
Be: 0.0000 0.0000 0.0000 x1  8 F 3.11, 4 N 3.36
I: 0.5000 0.5000 0.5000 x1  2 N 2.00
N: 0.5000 0.5000 0.0000 x1  2 I 2.00
F: 0.0000 0.5000 0.5000 x2  2 I 2.38

***

Record 7
Entry from the Alexandria database: a relaxed structure of BeIN2F (PBE-GGA).

Properties
excess energy over the best structure of this formula in the dataset = 1604 meV per atom
crystal system = tetragonal

abc: 3.8062 3.8062 6.4038
angles: 90.00 90.00 90.00
Last column: nearest neighbours and their distance in Å.
Space group P4/mmm (No. 123)
Asymmetric unit:
Be: 0.0000 0.0000 0.0000 x1  4 I 2.69
I: 0.5000 0.5000 0.0000 x1  4 Be 2.69
N: 0.0000 0.5000 0.5000 x2  2 F 1.90
F: 0.5000 0.5000 0.5000 x1  4 N 1.90

***

Record 8
Entry from the Alexandria database: a relaxed structure of Be2PdIF (PBE-GGA).

Properties
crystal system = tetragonal
DFT total energy = -14.91 eV per formula unit

abc: 4.3564 4.3564 5.2371
angles: 90.00 90.00 90.00
Last column: nearest neighbours and their distance in Å.
Space group P4/mmm (No. 123)
Asymmetric unit:
Be: 0.0000 0.5000 0.0000 x2  2 Pd 2.18
Pd: 0.0000 0.0000 0.0000 x1  4 Be 2.18
I: 0.0000 0.0000 0.5000 x1  2 Pd 2.62
F: 0.5000 0.5000 0.5000 x1  4 I 3.08, 8 Be 3.41

***

Record 9
Entry from the Alexandria database: a relaxed structure of Rb2BeIF6 (PBE-GGA).

Properties
crystal system = tetragonal
DFT total energy = -40.65 eV per formula unit

abc: 6.4332 6.4332 8.6991
angles: 90.00 90.00 90.00
Last column: nearest neighbours and their distance in Å.
Space group I4/mmm (No. 139)
Asymmetric unit:
Rb: 0.0000 0.5000 0.2500 x4  12 F 3.20-3.22
Be: 0.0000 0.0000 0.0000 x2  4 F 1.67
I: 0.0000 0.0000 0.5000 x2  2 F 2.06
F: 0.0000 0.0000 0.2635 x4  1 I 2.06, 1 Be 2.29
F: 0.1836 0.1836 0.0000 x8  1 Be 1.67

***

Record 10
Entry from the Alexandria database: a relaxed structure of BeSb2IF (PBE-GGA).

Properties
excess energy over the best structure of this formula in the dataset = 0 meV per atom
crystal system = tetragonal

abc: 4.8589 4.8589 5.1548
angles: 90.00 90.00 90.00
Last column: nearest neighbours and their distance in Å.
Space group P4/mmm (No. 123)
Asymmetric unit:
Be: 0.0000 0.0000 0.0000 x1  4 Sb 2.43, 2 I 2.58
Sb: 0.0000 0.5000 0.0000 x2  2 Be 2.43
I: 0.0000 0.0000 0.5000 x1  2 Be 2.58
F: 0.5000 0.5000 0.5000 x1  4 I 3.44, 8 Sb 3.54

***

Record 11
Entry from the Alexandria database: a relaxed structure of BeTeI2F (PBE-GGA).

Properties
excess energy over the best structure of this formula in the dataset = 256 meV per atom
crystal system = tetragonal

abc: 5.9645 5.9645 4.7518
angles: 90.00 90.00 90.00
Last column: nearest neighbours and their distance in Å.
Space group P4/mmm (No. 123)
Asymmetric unit:
Be: 0.0000 0.0000 0.0000 x1  2 Te 2.38
Te: 0.0000 0.0000 0.5000 x1  2 Be 2.38
I: 0.0000 0.5000 0.5000 x2  2 Te 2.98
F: 0.5000 0.5000 0.0000 x1  8 I 3.81, 4 Be 4.22

***

Record 12
Entry from the Alexandria database: a relaxed structure of BeTeI2F (PBE-GGA).

Properties
excess energy over the best structure of this formula in the dataset = 0 meV per atom
crystal system = tetragonal

abc: 5.1429 5.1429 4.9287
angles: 90.00 90.00 90.00
Last column: nearest neighbours and their distance in Å.
Space group P4/mmm (No. 123)
Asymmetric unit:
Be: 0.0000 0.0000 0.0000 x1  2 Te 2.46, 4 I 2.57
Te: 0.0000 0.0000 0.5000 x1  2 Be 2.46
I: 0.0000 0.5000 0.0000 x2  2 Be 2.57
F: 0.5000 0.5000 0.5000 x1  8 I 3.56, 4 Te 3.64

***

no.,magnetic moment (μB per formula unit)
1,1.00
2,0.00
3,1.33
4,0.15
5,0.00
6,0.74
7,3.66
8,0.00
9,1.00
10,0.00
11,0.00
12,0.00